Entry from the Alexandria database: a relaxed structure of TlAgTe2 (PBE).

abc: 3.295 5.940 5.937
angles: 90.00 90.02 90.00
Element x y z (fractional)
Tl: 0.000 0.000 0.000
Ag: 0.500 0.500 0.499
Te: 0.498 0.000 0.500
Te: 0.501 0.500 0.999

Properties
For the formation energy (no corrections), the calculation gives -0.033 eV/atom. As for the magnetization: 0.0 μB per formula unit.